Entry 1:
Below is a relaxed Pr2SmSi3Pt12 crystal, with properties calculated at the GGA-PBE level.

```
Pr2SmSi3Pt12
1.0
4.180 2.413 6.096
-4.180 2.413 6.096
0.000 -4.826 6.096
Pr Sm Si Pt
2 1 3 12
direct
0.098 0.098 0.098
0.902 0.902 0.902
0.500 0.500 0.500
0.000 0.500 0.500
0.500 0.000 0.500
0.500 0.500 0.000
0.094 0.646 0.646
0.152 0.152 0.600
0.152 0.600 0.152
0.354 0.354 0.906
0.354 0.906 0.354
0.400 0.848 0.848
0.600 0.152 0.152
0.646 0.094 0.646
0.646 0.646 0.094
0.848 0.400 0.848
0.848 0.848 0.400
0.906 0.354 0.354
```

Output
E_form (uncorrected), eV/atom: -0.5263
Calculated volume, Å³/atom: 20.49
Total moment, μB per cell: 0.0
Electronic total energy, eV/cell: -112.5
Space group: R-3m (166)

=====

Entry 2:
Below is a relaxed NaLa2Tl crystal, with properties calculated at the GGA-PBE level.

```
NaLa2Tl
1.0
1.822 1.052 12.647
-1.822 1.052 12.647
0.000 -2.103 12.647
Na La Tl
1 2 1
direct
0.000 0.000 0.000
0.097 0.097 0.097
0.903 0.903 0.903
0.500 0.500 0.500
```

Output
Calculated volume, Å³/atom: 36.35
Total moment, μB per cell: 0.0
Electronic total energy, eV/cell: -13.4
Space group: R-3m (166)
Calculated formation energy, eV/atom: 0.03
Excess energy over the best structure of this formula in the dataset, eV per atom: 0.161